CaDy2VO6 (PBE with a Hubbard U, relaxed); symmetry = P1, No. 1; density = 6.3 g/cm³; E_tot = -78.1 eV per formula unit; magnetic moment = 1.0 μB per cell
1.0
5.587 0.005 -0.041
2.798 4.900 -0.001
2.758 1.654 4.890
Ca Dy V O
1 2 1 6
Direct
0.810 0.804 0.585 Ca
0.532 0.531 0.412 Dy
0.030 0.018 0.927 Dy
0.320 0.320 0.044 V
0.567 0.218 0.238 O
0.208 0.964 0.246 O
0.963 0.581 0.243 O
0.414 0.684 0.767 O
0.681 0.132 0.772 O
0.137 0.409 0.780 O

***

CaDy2WO8 (PBE with a Hubbard U, relaxed); symmetry = P-1, No. 2; density = 7.6 g/cm³; E_tot = -89.0 eV per formula unit; magnetic moment = 0.0 μB per cell
1.0
-5.217 -1.123 -0.882
-0.769 -0.068 4.103
-1.482 6.428 1.576
Ca Dy W O
1 2 1 8
Direct
0.000 0.000 0.500 Ca
0.517 0.383 0.790 Dy
0.483 0.617 0.210 Dy
0.000 0.000 0.000 W
0.066 0.667 0.262 O
0.693 0.809 0.919 O
0.782 0.211 0.151 O
0.934 0.333 0.738 O
0.307 0.191 0.081 O
0.218 0.789 0.849 O
0.542 0.828 0.500 O
0.458 0.172 0.500 O